Model w:
Sm2Y5Tm5 PBE-GGA optimized geometry; space group = C2/m (12); total magnetic moment = 0.000 μB/atom; crystal system = monoclinic
1.0
8.5083 -2.7991 0.0000
8.5083 2.7991 0.0000
-5.4720 0.0000 7.9548
Sm Y Tm
2 5 5
direct
0.1243 0.1243 0.2930
0.8757 0.8757 0.7070
0.0000 0.0000 0.5000
0.1251 0.1251 0.9604
0.2499 0.2499 0.7522
0.7501 0.7501 0.2478
0.8749 0.8749 0.0396
0.3757 0.3757 0.2109
0.3756 0.3756 0.5442
0.5000 0.5000 0.0000
0.6244 0.6244 0.4558
0.6243 0.6243 0.7891


Model x:
Sm2Y5Tm5 PBE-GGA optimized geometry; space group = C2/m (12); total magnetic moment = 0.000 μB/atom; crystal system = monoclinic
1.0
7.5212 -2.5068 0.0000
7.5212 2.5068 0.0000
-5.0115 0.0000 10.0349
Sm Y Tm
2 5 5
direct
0.0834 0.0834 0.2482
0.9166 0.9166 0.7518
0.3338 0.3338 0.5003
0.4153 0.4153 0.2493
0.5000 0.5000 0.0000
0.5847 0.5847 0.7507
0.6662 0.6662 0.4997
0.0000 0.0000 0.5000
0.1682 0.1682 0.0004
0.2496 0.2496 0.7511
0.7504 0.7504 0.2489
0.8318 0.8318 0.9996


Which structure is the most stable? The one labeled model x.